Record 1
SrTc2Cl | GGA-PBEsol | optimized geometry

Lattice parameters (Å, degrees): 5.172 12.712 3.383 90.00 130.53 90.00
Space group C2/m (No. 12)
One atom of each set of equivalent atoms:
Sr 0.000 0.000 0.000 [2 per cell]
Tc 0.250 0.250 0.500 [4 per cell]
Cl 0.000 0.500 0.000 [2 per cell]

## Properties
formation energy from raw total energies	0.366	eV/atom
crystal system	monoclinic
raw total energy	-49.83	eV for the cell shown



Record 2
Sr2TcCl | GGA-PBEsol | optimized geometry

Lattice parameters (Å, degrees): 7.499 7.499 7.499 90.00 90.00 90.00
Space group Fm-3m (No. 225)
One atom of each set of equivalent atoms:
Sr 0.250 0.250 0.250 [8 per cell]
Tc 0.000 0.000 0.000 [4 per cell]
Cl 0.000 0.000 0.500 [4 per cell]

## Properties
formation energy from raw total energies	0.196	eV/atom
crystal system	cubic
raw total energy	-64.68	eV for the cell shown